(1)
This record from the Alexandria database describes a relaxed Sm8Te3Se3S crystal. The functional is PBE.

a = 8.4806 Å, b = 8.4806 Å, c = 21.1907 Å
α = 90.00°, β = 90.00°, γ = 120.00°
Space group R-3m (No. 166, hexagonal axes)
Inequivalent atoms, fractional coordinates:
Sm: 0.0000 0.0000 0.2385 [6 per cell]
Sm: 0.0143 0.5071 0.2382 [18 per cell]
Te: 0.0000 0.5000 0.0000 [9 per cell]
Se: 0.0000 0.5000 0.5000 [9 per cell]
S: 0.0000 0.0000 0.5000 [3 per cell]

N(E_F) = 0.289 states/eV per atom


(2)
This record from the Alexandria database describes a relaxed Sm8Te4Se3S crystal. The functional is PBE.

a = 8.5454 Å, b = 8.5454 Å, c = 21.2707 Å
α = 90.00°, β = 90.00°, γ = 120.00°
Space group R-3m (No. 166, hexagonal axes)
Inequivalent atoms, fractional coordinates:
Sm: 0.0000 0.0000 0.2390 [6 per cell]
Sm: 0.0137 0.5068 0.2373 [18 per cell]
Te: 0.0000 0.0000 0.0000 [3 per cell]
Te: 0.0000 0.5000 0.0000 [9 per cell]
Se: 0.0000 0.5000 0.5000 [9 per cell]
S: 0.0000 0.0000 0.5000 [3 per cell]

N(E_F) = 0.380 states/eV per atom


Number 1: formation energy without anion corrections -1.5229 eV per atom. Number 2: formation energy without anion corrections -1.6412 eV per atom.